Entry 1:
# PmEr2Rh4

A relaxed structure of PmEr2Rh4 (PBE-GGA, Alexandria via LeMat-Bulk). Values from VASP.

Cell and atoms, written as Quantum ESPRESSO input:
```
&SYSTEM
  ibrav = 0, nat = 7, ntyp = 3
/
ATOMIC_SPECIES
Rh 102.91 Rh.upf
Pm 145.00 Pm.upf
Er 167.26 Er.upf
CELL_PARAMETERS angstrom
4.676 0.000 0.000
0.000 4.676 0.000
0.000 0.000 6.679
ATOMIC_POSITIONS angstrom
Rh 0.000 2.338 1.745
Rh 2.338 0.000 1.745
Rh 0.000 2.338 4.934
Rh 2.338 0.000 4.934
Pm 2.338 2.338 0.000
Er 0.000 0.000 0.000
Er 2.338 2.338 3.340
```

Computed properties:
Calculated density   10.13 g cm⁻³
Size of the total moment   0.0000 μB/atom
Raw total energy   -6.616 eV per atom
Calculated volume   146.0 Å³ per cell

Entry 2:
# Pm12ErRh7

A relaxed structure of Pm12ErRh7 (PBE-GGA, Alexandria via LeMat-Bulk). Values from VASP.

Cell and atoms, written as Quantum ESPRESSO input:
```
&SYSTEM
  ibrav = 0, nat = 20, ntyp = 3
/
ATOMIC_SPECIES
Rh 102.91 Rh.upf
Pm 145.00 Pm.upf
Er 167.26 Er.upf
CELL_PARAMETERS angstrom
8.937 -0.073 -0.109
-2.555 8.564 -0.109
-2.555 -3.399 7.862
ATOMIC_POSITIONS angstrom
Rh 4.712 2.516 6.752
Rh 0.083 -0.898 2.721
Rh -0.885 2.576 0.891
Rh 1.914 2.546 3.821
Rh 2.721 0.874 0.220
Rh 3.744 5.990 4.922
Rh 1.106 4.218 7.423
Pm -1.652 5.144 1.676
Pm 5.401 1.607 0.501
Pm 1.818 3.382 1.133
Pm 4.579 3.417 4.086
Pm 3.785 6.800 2.250
Pm -0.752 1.675 3.557
Pm 5.479 -0.052 5.967
Pm -1.574 3.485 7.142
Pm 0.042 -1.708 5.393
Pm 2.009 1.710 6.510
Pm 1.084 5.081 4.727
Pm 2.743 0.011 2.916
Er 0.000 0.000 0.000
```

Computed properties:
Calculated density   7.35 g cm⁻³
Size of the total moment   0.0000 μB/atom
Raw total energy   -6.141 eV per atom
Calculated volume   593.6 Å³ per cell

Entry 3:
# PmErSb2Rh5

A relaxed structure of PmErSb2Rh5 (PBE-GGA, Alexandria via LeMat-Bulk). Values from VASP.

Cell and atoms, written as Quantum ESPRESSO input:
```
&SYSTEM
  ibrav = 0, nat = 9, ntyp = 4
/
ATOMIC_SPECIES
Sb 121.76 Sb.upf
Rh 102.91 Rh.upf
Er 167.26 Er.upf
Pm 145.00 Pm.upf
CELL_PARAMETERS angstrom
-2.547 3.658 0.243
-2.182 -1.751 3.479
5.902 3.738 5.583
ATOMIC_POSITIONS angstrom
Sb 2.613 4.106 6.569
Sb -1.440 1.539 2.735
Rh 2.958 4.509 4.125
Rh 3.140 1.805 5.742
Rh 0.579 0.182 3.319
Rh 0.397 2.887 1.702
Rh 0.586 2.822 4.652
Er 0.000 0.000 0.000
Pm 2.951 1.869 2.791
```

Computed properties:
Calculated density   9.97 g cm⁻³
Size of the total moment   0.0000 μB/atom
Calculated volume   178.2 Å³ per cell
E_form (uncorrected)   -0.5176 eV per atom

Entry 4:
# Pm2ErSb3Rh4

A relaxed structure of Pm2ErSb3Rh4 (PBE-GGA, Alexandria via LeMat-Bulk). Values from VASP.

Cell and atoms, written as Quantum ESPRESSO input:
```
&SYSTEM
  ibrav = 0, nat = 10, ntyp = 4
/
ATOMIC_SPECIES
Pm 145.00 Pm.upf
Er 167.26 Er.upf
Sb 121.76 Sb.upf
Rh 102.91 Rh.upf
CELL_PARAMETERS angstrom
-0.090 -3.905 1.964
1.659 -1.848 -3.598
10.603 1.761 3.984
ATOMIC_POSITIONS angstrom
Pm 2.357 -1.554 1.885
Pm 9.031 0.438 1.282
Er 6.086 -1.996 1.175
Sb 5.302 0.880 1.992
Sb 9.162 -0.424 4.441
Sb 2.226 -0.692 -1.275
Rh 0.785 -2.876 -0.817
Rh 0.000 0.000 0.000
Rh 6.791 -0.817 3.550
Rh 4.597 -0.298 -0.384
```

Computed properties:
Calculated density   9.35 g cm⁻³
Size of the total moment   0.0000 μB/atom
Calculated volume   219.1 Å³ per cell
E_form (uncorrected)   -0.8639 eV per atom

Q: Which value of calculated density does entry 3 give?
A: 9.97 g cm⁻³